Entry 1:
# CrSi4Tc2

A relaxed CrSi4Tc2 crystal (PBE-GGA, the Alexandria database).

Summary:
Space-group type: I4/mmm
Total DFT energy (no corrections) (eV per atom): -6.958
Size of the total moment (μB/cell): 0.0
Fermi-level density of states (states/eV per cell): 12.03
Energy relative to the elements, uncorrected (kJ/mol of formula units): 323

```
CrSi4Tc2
1.0
4.284 0.000 0.000
0.000 4.284 0.000
0.000 0.000 12.188
Cr Si Tc
2 8 4
direct
0.000 0.000 0.000
0.500 0.500 0.500
0.000 0.000 0.195
0.000 0.000 0.805
0.000 0.500 0.000
0.000 0.500 0.500
0.500 0.000 0.000
0.500 0.000 0.500
0.500 0.500 0.305
0.500 0.500 0.695
0.000 0.000 0.389
0.000 0.000 0.611
0.500 0.500 0.111
0.500 0.500 0.889
```

Entry 2:
# Cr2SiTc

A relaxed Cr2SiTc crystal (PBE-GGA, the Alexandria database).

Summary:
Space-group type: Imm2
Total DFT energy (no corrections) (eV per atom): -8.972
Size of the total moment (μB/cell): 0.5
Fermi-level density of states (states/eV per cell): 6.46
Energy relative to the elements, uncorrected (kJ/mol of formula units): -82

```
Cr2SiTc
1.0
3.002 0.000 0.000
0.000 4.057 0.000
0.000 0.000 8.121
Cr Si Tc
4 2 2
direct
0.000 0.000 0.000
0.000 0.500 0.262
0.500 0.000 0.762
0.500 0.500 0.500
0.000 0.000 0.510
0.500 0.500 0.010
0.000 0.500 0.752
0.500 0.000 0.252
```

Entry 3:
# Cr2SiTc

A relaxed Cr2SiTc crystal (PBE-GGA, the Alexandria database).

Summary:
Space-group type: R3m
Total DFT energy (no corrections) (eV per atom): -8.653
Size of the total moment (μB/cell): 0.0
Fermi-level density of states (states/eV per cell): 13.26
Energy relative to the elements, uncorrected (kJ/mol of formula units): 41

```
Cr2SiTc
1.0
2.699 0.000 0.000
-1.350 2.338 0.000
0.000 0.000 24.346
Cr Si Tc
6 3 3
direct
0.000 0.000 0.000
0.000 0.000 0.252
0.333 0.667 0.667
0.333 0.667 0.919
0.667 0.333 0.333
0.667 0.333 0.585
0.000 0.000 0.505
0.333 0.667 0.172
0.667 0.333 0.838
0.000 0.000 0.752
0.333 0.667 0.418
0.667 0.333 0.085
```